Here is a relaxed structure of HgAs2WO8 from Alexandria via LeMat-Bulk. Energies are from PBE+U.

- E_tot: -5.92 eV/atom

a = 5.548 Å, b = 5.548 Å, c = 7.612 Å
α = 98.82°, β = 98.82°, γ = 60.51°
Fractional positions:
1 Hg 0.000 0.000 0.000
2 As 0.215 0.215 0.720
3 As 0.785 0.785 0.280
4 W 0.500 0.500 0.500
5 O 0.109 0.615 0.385
6 O 0.199 0.199 0.944
7 O 0.385 0.891 0.615
8 O 0.394 0.394 0.727
9 O 0.606 0.606 0.273
10 O 0.615 0.109 0.385
11 O 0.801 0.801 0.056
12 O 0.891 0.385 0.615